First-principles (GGA-PBE) data for an optimized crystal structure of BaGdTa, as listed in the Open Quantum Materials Database.

The structure belongs to space group F-43m (No. 216); the cell edges are 7.577, 7.577 and 7.577 Å and the angles 90.00°, 90.00° and 90.00°. Symmetry generates all atoms from Ba at (0.000, 0.000, 0.000), Gd at (0.250, 0.250, 0.250) and Ta at (0.000, 0.000, 0.500).

For the raw total energy, the calculation gives -4.590 eV per atom. The value obtained for the energy above the lowest structure with this stoichiometry is 0 meV per atom. As for the volume: 36.255 Å³/atom.